1.
VASP calculation (PBE-GGA) on K4Zr after structural relaxation.

abc: 6.9750 6.9750 6.9750
angles: 90.00 90.00 90.00
Sites, in units of the cell vectors:
1 K 0.5000 0.0000 0.5000
2 K 0.0000 0.0000 0.0000
3 K 0.0000 0.5000 0.5000
4 K 0.5000 0.5000 0.0000
5 Zr 0.5000 0.5000 0.5000

Output
D(E_F)	1.302	states/eV/atom
E_form	900	meV per atom
energy above the lowest structure with this stoichiometry	28	meV per atom


2.
VASP calculation (PBE-GGA) on TbAgPb2S4 after structural relaxation.

abc: 4.0846 7.2132 6.9941
angles: 70.61 90.00 90.00
Sites, in units of the cell vectors:
1 Pb 0.0000 0.0000 0.0000
2 Pb 0.5000 0.0000 0.5000
3 S 0.0000 0.2724 0.2476
4 S 0.5000 0.7291 0.2652
5 S 0.0000 0.7276 0.7524
6 S 0.5000 0.2709 0.7348
7 Tb 0.0000 0.5000 0.5000
8 Ag 0.5000 0.5000 0.0000

Output
energy relative to the elements, uncorrected	-870	meV per atom


3.
VASP calculation (PBE-GGA) on Pb3WS after structural relaxation.

abc: 5.3953 5.3953 5.3953
angles: 90.00 90.00 90.00
Sites, in units of the cell vectors:
1 Pb 0.5000 0.0000 0.0000
2 Pb 0.0000 0.0000 0.5000
3 Pb 0.0000 0.5000 0.0000
4 W 0.0000 0.0000 0.0000
5 S 0.5000 0.5000 0.5000

Output
D(E_F)	0.826	states/eV/atom
energy relative to the elements, uncorrected	733	meV per atom
energy above the lowest structure with this stoichiometry	0	meV per atom


4.
VASP calculation (PBE-GGA) on Ge5Au7 after structural relaxation.

abc: 3.3067 6.7270 14.1069
angles: 50.36 83.27 75.77
Sites, in units of the cell vectors:
1 Ge 0.8368 0.8359 0.4905
2 Ge 0.3185 0.5749 0.7881
3 Ge 0.6815 0.4251 0.2119
4 Ge 0.1632 0.1641 0.5095
5 Ge 0.0000 0.0000 0.0000
6 Au 0.0352 0.6654 0.2642
7 Au 0.9648 0.3346 0.7358
8 Au 0.3497 0.0242 0.2765
9 Au 0.6503 0.9758 0.7235
10 Au 0.3431 0.2901 0.0238
11 Au 0.6569 0.7099 0.9762
12 Au 0.5000 0.5000 0.5000

Output
D(E_F)	0.386	states/eV/atom
E_form	77	meV per atom


5.
VASP calculation (PBE-GGA) on BaCa2Os after structural relaxation.

abc: 11.4891 11.4891 11.4891
angles: 18.40 18.40 18.40
Sites, in units of the cell vectors:
1 Ba 0.7500 0.7500 0.7500
2 Ca 0.5253 0.5253 0.5253
3 Ca 0.9747 0.9747 0.9747
4 Os 0.2500 0.2500 0.2500

Output
D(E_F)	1.307	states/eV/atom
E_form	633	meV per atom
energy above the lowest structure with this stoichiometry	234	meV per atom


6.
VASP calculation (PBE-GGA) on LaCrTe2 after structural relaxation.

abc: 5.4128 5.4128 5.4128
angles: 60.00 60.00 60.00
Sites, in units of the cell vectors:
1 Te 0.7500 0.7500 0.7500
2 Te 0.2500 0.2500 0.2500
3 Cr 0.0000 0.0000 0.0000
4 La 0.5000 0.5000 0.5000

Output
D(E_F)	0.048	states/eV/atom
energy relative to the elements, uncorrected	-596	meV per atom
energy above the lowest structure with this stoichiometry	187	meV per atom


7.
VASP calculation (PBE-GGA) on YP2Br after structural relaxation.

abc: 4.7301 4.7301 3.8919
angles: 90.00 90.00 105.60
Sites, in units of the cell vectors:
1 P 0.0000 0.0000 0.0000
2 P 0.5000 0.5000 0.0000
3 Br 0.0000 0.5000 0.5000
4 Y 0.5000 0.0000 0.5000

Output
D(E_F)	0.699	states/eV/atom
energy relative to the elements, uncorrected	-170	meV per atom
energy above the lowest structure with this stoichiometry	735	meV per atom


8.
VASP calculation (PBE-GGA) on Pm2Nd3Tl after structural relaxation.

abc: 4.9987 4.9983 8.1988
angles: 107.75 90.00 90.00
Sites, in units of the cell vectors:
1 Tl 0.0000 0.0000 0.0000
2 Nd 0.5000 0.5000 0.0000
3 Nd 0.5000 0.8345 0.6691
4 Nd 0.5000 0.1655 0.3309
5 Pm 0.0000 0.3376 0.6751
6 Pm 0.0000 0.6624 0.3249

Output
D(E_F)	1.288	states/eV/atom
E_form	-108	meV per atom
energy above the lowest structure with this stoichiometry	0	meV per atom


Repeat the sixth record exactly.
VASP calculation (PBE-GGA) on LaCrTe2 after structural relaxation.

abc: 5.4128 5.4128 5.4128
angles: 60.00 60.00 60.00
Sites, in units of the cell vectors:
1 Te 0.7500 0.7500 0.7500
2 Te 0.2500 0.2500 0.2500
3 Cr 0.0000 0.0000 0.0000
4 La 0.5000 0.5000 0.5000

Output
D(E_F)	0.048	states/eV/atom
energy relative to the elements, uncorrected	-596	meV per atom
energy above the lowest structure with this stoichiometry	187	meV per atom